Entry from Alexandria: a relaxed Pm2DyAs crystal (GGA-PBE).

DFT formation energy ... -560 meV per atom
Final energy ... -5.2485 eV/atom
N(E_F) ... 5.6 states/eV per cell

The structure in POSCAR format:
```
Pm2DyAs
1.0
-2.770 0.721 -2.717
-2.149 -2.969 -1.463
-8.097 0.516 5.526
Pm As Dy
2 1 1
Direct
0.729 0.729 0.813 Pm
0.271 0.271 0.187 Pm
0.000 0.000 0.000 As
0.500 0.500 0.500 Dy
```